## Ta2Sb2F (GGA-PBE)

Data for Ta2Sb2F after structural relaxation.

```
data_Ta2Sb2F
_chemical_formula_sum 'Ta4 Sb4 F2'
_cell_length_a 3.870
_cell_length_b 3.870
_cell_length_c 14.358
_cell_angle_alpha 90.00
_cell_angle_beta 90.00
_cell_angle_gamma 90.00
_symmetry_space_group_name_H-M 'I 4/m m m'
_symmetry_Int_Tables_number 139
_symmetry_space_group_name_Hall '-I 4 2'
loop_
_atom_site_label
_atom_site_type_symbol
_atom_site_fract_x
_atom_site_fract_y
_atom_site_fract_z
Ta1 Ta 0.000 0.500 0.250
Sb1 Sb 0.000 0.000 0.100
F1 F 0.000 0.000 0.500
```

Calculated values
Energy relative to the elements, uncorrected in eV/atom: -0.0317
Crystal system: tetragonal
Offset from the most stable computed form in meV per atom: 23.6
Magnetization in μB/f.u.: 0.00
Density in kg/m3: 9644